1.
Crystalline BaCdSn2 at its relaxed geometry, computed with GGA-PBE.

Lattice parameters (Å, degrees): 10.8647 10.8647 10.8647 151.44 151.44 40.84
Closest atoms and distances in Å follow each position.
Sites, in units of the cell vectors:
Ba 0.0000 0.0000 0.0000  4 Sn 3.45, 4 Cd 3.79
Ba 0.7500 0.2500 0.5000  4 Sn 3.45, 4 Cd 3.79
Cd 0.2500 0.7500 0.5000  4 Sn 2.98
Cd 0.5000 0.5000 0.0000  4 Sn 2.98
Sn 0.2287 0.6250 0.1037  2 Cd 2.98, 2 Sn 3.11
Sn 0.3750 0.4787 0.6037  2 Cd 2.98, 2 Sn 3.11
Sn 0.5213 0.1250 0.8963  2 Cd 2.98, 2 Sn 3.11
Sn 0.8750 0.7713 0.3963  2 Cd 2.98, 2 Sn 3.11

The total DFT energy (no corrections) comes out at -23.51 eV/cell.


2.
Crystalline BaCdSn at its relaxed geometry, computed with GGA-PBE.

Lattice parameters (Å, degrees): 9.6132 9.6132 9.6132 156.39 143.19 44.20
Closest atoms and distances in Å follow each position.
Sites, in units of the cell vectors:
Ba 0.1592 0.1592 0.0000  5 Sn 3.57-3.63, 4 Cd 3.75, 2 Ba 3.93
Ba 0.8408 0.8408 0.0000  5 Sn 3.57-3.63, 4 Cd 3.75, 2 Ba 3.93
Cd 0.2428 0.5000 0.7428  2 Cd 2.95-3.12, 2 Sn 2.95
Cd 0.7572 0.5000 0.2572  2 Cd 2.95-3.12, 2 Sn 2.95
Sn 0.3596 0.3596 0.0000  2 Cd 2.95
Sn 0.6404 0.6404 0.0000  2 Cd 2.95

The total DFT energy (no corrections) comes out at -15.90 eV/cell.


3.
Crystalline Ba2Cd2Sn at its relaxed geometry, computed with GGA-PBE.

Lattice parameters (Å, degrees): 6.9721 6.9721 11.2055 110.19 110.19 43.63
Closest atoms and distances in Å follow each position.
Sites, in units of the cell vectors:
Ba 0.1038 0.1038 0.3844  3 Sn 3.55-3.88, 7 Cd 3.61-3.97
Ba 0.1771 0.1771 0.0445  3 Sn 3.54-3.86, 2 Ba 3.56, 5 Cd 3.64-3.76
Ba 0.8229 0.8229 0.9555  3 Sn 3.54-3.86, 2 Ba 3.56, 5 Cd 3.64-3.76
Ba 0.8962 0.8962 0.6156  3 Sn 3.55-3.88, 7 Cd 3.61-3.97
Cd 0.4037 0.4037 0.3653  2 Sn 3.05, 2 Cd 3.12-3.31
Cd 0.4879 0.4879 0.8596  2 Cd 3.04-3.31, 1 Sn 3.15
Cd 0.5121 0.5121 0.1404  2 Cd 3.04-3.31, 1 Sn 3.15
Cd 0.5963 0.5963 0.6347  2 Sn 3.05, 2 Cd 3.12-3.31
Sn 0.2265 0.2265 0.7255  3 Cd 3.05-3.15
Sn 0.7735 0.7735 0.2745  3 Cd 3.05-3.15

The total DFT energy (no corrections) comes out at -23.52 eV/cell.


4.
Crystalline BaCd3Sn at its relaxed geometry, computed with GGA-PBE.

Lattice parameters (Å, degrees): 6.2394 6.2394 6.2394 90.00 90.00 90.00
Closest atoms and distances in Å follow each position.
Sites, in units of the cell vectors:
Ba 0.0000 0.0000 0.0000  6 Cd 3.12
Cd 0.0000 0.0000 0.5000  2 Ba 3.12
Cd 0.0000 0.5000 0.0000  2 Ba 3.12
Cd 0.5000 0.0000 0.0000  2 Ba 3.12
Sn 0.5000 0.5000 0.5000  12 Cd 4.41

The total DFT energy (no corrections) comes out at -4.68 eV/cell.


5.
Crystalline BaCdSn3 at its relaxed geometry, computed with GGA-PBE.

Lattice parameters (Å, degrees): 6.7482 6.7482 6.7482 133.61 133.61 67.69
Closest atoms and distances in Å follow each position.
Sites, in units of the cell vectors:
Ba 0.0000 0.0000 0.0000  13 Sn 3.86-4.24, 5 Cd 4.04-4.13
Cd 0.6312 0.6312 0.0000  5 Sn 2.84-2.97
Sn 0.2504 0.7504 0.5000  2 Cd 2.97, 2 Sn 3.02
Sn 0.3779 0.3779 0.0000  1 Cd 2.84, 4 Sn 3.02
Sn 0.7504 0.2504 0.5000  2 Cd 2.97, 2 Sn 3.02

The total DFT energy (no corrections) comes out at -16.70 eV/cell.


6.
Crystalline Ba4Cd2Sn at its relaxed geometry, computed with GGA-PBE.

Lattice parameters (Å, degrees): 10.4021 10.4021 10.4021 33.61 33.61 33.61
Closest atoms and distances in Å follow each position.
Sites, in units of the cell vectors:
Ba 0.1223 0.1223 0.1223  1 Sn 3.60, 4 Cd 3.65-3.72
Ba 0.3742 0.3742 0.3742  3 Sn 3.67, 4 Cd 3.69-3.70
Ba 0.6258 0.6258 0.6258  3 Sn 3.67, 4 Cd 3.69-3.70
Ba 0.8777 0.8777 0.8777  1 Sn 3.60, 4 Cd 3.65-3.72
Cd 0.2488 0.2488 0.2488  8 Ba 3.65-3.72
Cd 0.7512 0.7512 0.7512  8 Ba 3.65-3.72
Sn 0.0000 0.0000 0.0000  8 Ba 3.60-3.67

The total DFT energy (no corrections) comes out at -15.92 eV/cell.


7.
Crystalline Ba2Cd7Sn at its relaxed geometry, computed with GGA-PBE.

Lattice parameters (Å, degrees): 4.8267 4.8267 12.6445 90.00 90.00 90.00
Closest atoms and distances in Å follow each position.
Sites, in units of the cell vectors:
Ba 0.0000 0.5000 0.2473  14 Cd 3.69-4.00, 2 Sn 3.95
Ba 0.5000 0.0000 0.7527  14 Cd 3.69-4.00, 2 Sn 3.95
Cd 0.0000 0.0000 0.0000  4 Cd 2.97
Cd 0.0000 0.0000 0.5000  4 Cd 2.97
Cd 0.0000 0.5000 0.6367  5 Cd 2.86-2.97
Cd 0.0000 0.5000 0.8632  3 Cd 2.86-2.97, 2 Sn 2.97
Cd 0.5000 0.0000 0.1368  3 Cd 2.86-2.97, 2 Sn 2.97
Cd 0.5000 0.0000 0.3633  5 Cd 2.86-2.97
Cd 0.5000 0.5000 0.5000  4 Cd 2.97
Sn 0.5000 0.5000 0.0000  4 Cd 2.97

The total DFT energy (no corrections) comes out at -17.27 eV/cell.


8.
Crystalline BaCdSn at its relaxed geometry, computed with GGA-PBE.

Lattice parameters (Å, degrees): 7.0188 7.0188 7.0188 147.61 147.61 46.46
Closest atoms and distances in Å follow each position.
Sites, in units of the cell vectors:
Ba 0.0000 0.0000 0.0000  5 Cd 3.65-4.08, 5 Sn 3.72-3.97, 4 Ba 3.92
Cd 0.6841 0.6841 0.0000  4 Sn 3.20
Sn 0.3079 0.3079 0.0000  4 Cd 3.20

The total DFT energy (no corrections) comes out at -7.76 eV/cell.